# 1
This record from Alexandria describes a relaxed Pm4Nd2Y2Tm crystal. The functional is PBE-GGA.

## Properties
Crystal system: monoclinic
DFT formation energy, kJ/mol of formula units: 5

a b c (Å): 9.643 9.643 9.713
angles (deg): 115.13 115.13 21.88
Positions (direct):
Pm 0.018 0.018 0.332
Pm 0.315 0.315 0.667
Pm 0.685 0.685 0.333
Pm 0.982 0.982 0.668
Nd 0.165 0.165 0.999
Nd 0.835 0.835 0.001
Y 0.353 0.353 0.334
Y 0.647 0.647 0.666
Tm 0.500 0.500 0.000

# 2
This record from Alexandria describes a relaxed CrSi2Hg crystal. The functional is PBE-GGA.

## Properties
Crystal system: tetragonal
Uncorrected formation energy, meV per atom: 280

a b c (Å): 2.967 2.967 7.963
angles (deg): 90.00 90.00 90.00
Positions (direct):
Cr 0.000 0.000 0.000
Si 0.500 0.500 0.163
Si 0.500 0.500 0.837
Hg 0.000 0.000 0.500

# 3
This record from Alexandria describes a relaxed Pr7Dy12Ho crystal. The functional is PBE-GGA.

## Properties
Crystal system: trigonal
Offset from the most stable computed form, meV/atom: 0
DFT formation energy, kJ/mol of formula units: 439

a b c (Å): 8.827 8.827 8.827
angles (deg): 86.02 86.02 86.02
Positions (direct):
Pr 0.000 0.000 0.000
Pr 0.101 0.418 0.344
Pr 0.344 0.101 0.418
Pr 0.418 0.344 0.101
Pr 0.582 0.656 0.899
Pr 0.656 0.899 0.582
Pr 0.899 0.582 0.656
Dy 0.003 0.884 0.365
Dy 0.116 0.635 0.997
Dy 0.227 0.355 0.750
Dy 0.250 0.773 0.645
Dy 0.355 0.750 0.227
Dy 0.365 0.003 0.884
Dy 0.635 0.997 0.116
Dy 0.645 0.250 0.773
Dy 0.750 0.227 0.355
Dy 0.773 0.645 0.250
Dy 0.884 0.365 0.003
Dy 0.997 0.116 0.635
Ho 0.500 0.500 0.500

# 4
This record from Alexandria describes a relaxed SrBeVPd2 crystal. The functional is PBE-GGA.

## Properties
Crystal system: tetragonal
DFT formation energy, kJ/mol of formula units: 160

a b c (Å): 4.775 4.775 4.610
angles (deg): 90.00 90.00 90.00
Positions (direct):
Sr 0.000 0.000 0.000
Be 0.500 0.500 0.000
V 0.500 0.500 0.500
Pd 0.000 0.500 0.500
Pd 0.500 0.000 0.500

# 5
This record from Alexandria describes a relaxed TaTlCuPd2 crystal. The functional is PBE-GGA.

## Properties
Crystal system: tetragonal
DFT formation energy, kJ/mol of formula units: 706

a b c (Å): 4.924 4.924 4.617
angles (deg): 90.00 90.00 90.00
Positions (direct):
Ta 0.000 0.000 0.000
Tl 0.500 0.500 0.500
Cu 0.500 0.500 0.000
Pd 0.000 0.500 0.500
Pd 0.500 0.000 0.500

# 6
This record from Alexandria describes a relaxed AcPr5NdTm2 crystal. The functional is PBE-GGA.

## Properties
Crystal system: orthorhombic
DFT formation energy, kJ/mol of formula units: 126

a b c (Å): 12.515 12.515 9.631
angles (deg): 90.00 90.00 153.96
Positions (direct):
Ac 0.103 0.897 0.500
Ac 0.897 0.103 0.000
Pr 0.025 0.975 0.830
Pr 0.105 0.895 0.110
Pr 0.187 0.813 0.804
Pr 0.240 0.760 0.429
Pr 0.493 0.507 0.614
Pr 0.507 0.493 0.114
Pr 0.760 0.240 0.929
Pr 0.813 0.187 0.304
Pr 0.895 0.105 0.610
Pr 0.975 0.025 0.330
Nd 0.268 0.732 0.108
Nd 0.732 0.268 0.608
Tm 0.326 0.674 0.744
Tm 0.388 0.612 0.371
Tm 0.612 0.388 0.871
Tm 0.674 0.326 0.244

# 7
This record from Alexandria describes a relaxed Ta2InB crystal. The functional is PBE-GGA.

## Properties
Crystal system: cubic
Offset from the most stable computed form, meV/atom: 488
DFT formation energy, kJ/mol of formula units: 333

a b c (Å): 4.506 4.506 4.506
angles (deg): 60.00 60.00 60.00
Positions (direct):
Ta 0.250 0.250 0.250
Ta 0.750 0.750 0.750
In 0.000 0.000 0.000
B 0.500 0.500 0.500

# 8
This record from Alexandria describes a relaxed ZrAlCu2 crystal. The functional is PBE-GGA.

## Properties
Crystal system: monoclinic
DFT formation energy, kJ/mol of formula units: -42

a b c (Å): 4.549 4.549 5.168
angles (deg): 102.35 102.35 37.86
Positions (direct):
Zr 0.000 0.000 0.000
Al 0.771 0.771 0.349
Cu 0.241 0.241 0.732
Cu 0.508 0.508 0.508

# 9
This record from Alexandria describes a relaxed DyPa2MnC4 crystal. The functional is PBE-GGA.

## Properties
Crystal system: orthorhombic
DFT formation energy, kJ/mol of formula units: -136

a b c (Å): 5.984 5.984 11.965
angles (deg): 90.00 90.00 145.61
Positions (direct):
Dy 0.112 0.888 0.750
Dy 0.888 0.112 0.250
Pa 0.366 0.634 0.548
Pa 0.366 0.634 0.952
Pa 0.634 0.366 0.048
Pa 0.634 0.366 0.452
Mn 0.158 0.842 0.250
Mn 0.842 0.158 0.750
C 0.000 0.000 0.000
C 0.000 0.000 0.500
C 0.264 0.736 0.131
C 0.264 0.736 0.369
C 0.413 0.587 0.750
C 0.587 0.413 0.250
C 0.736 0.264 0.631
C 0.736 0.264 0.869

# 10
This record from Alexandria describes a relaxed Zr2Mn2Os crystal. The functional is PBE-GGA.

## Properties
Crystal system: tetragonal
Offset from the most stable computed form, meV/atom: 127
DFT formation energy, kJ/mol of formula units: 19

a b c (Å): 8.654 8.654 8.654
angles (deg): 158.93 158.93 29.96
Positions (direct):
Zr 0.103 0.103 0.000
Zr 0.897 0.897 0.000
Mn 0.250 0.750 0.500
Mn 0.750 0.250 0.500
Os 0.500 0.500 0.000

# 11
This record from Alexandria describes a relaxed Er6Cu5Tc crystal. The functional is PBE-GGA.

## Properties
Crystal system: orthorhombic
DFT formation energy, kJ/mol of formula units: -275

a b c (Å): 7.689 7.689 6.828
angles (deg): 90.00 90.00 143.08
Positions (direct):
Er 0.000 0.000 0.245
Er 0.000 0.000 0.755
Er 0.335 0.665 0.246
Er 0.335 0.665 0.754
Er 0.665 0.335 0.246
Er 0.665 0.335 0.754
Cu 0.162 0.838 0.000
Cu 0.166 0.834 0.500
Cu 0.500 0.500 0.500
Cu 0.834 0.166 0.500
Cu 0.838 0.162 0.000
Tc 0.500 0.500 0.000

# 12
This record from Alexandria describes a relaxed Ca2Pr3Rh2 crystal. The functional is PBE-GGA.

## Properties
Crystal system: monoclinic
DFT formation energy, kJ/mol of formula units: -284

a b c (Å): 6.650 6.650 9.308
angles (deg): 115.97 115.97 34.57
Positions (direct):
Ca 0.172 0.172 0.308
Ca 0.828 0.828 0.692
Pr 0.383 0.383 0.069
Pr 0.500 0.500 0.500
Pr 0.617 0.617 0.931
Rh 0.171 0.171 0.748
Rh 0.829 0.829 0.252

Number 1: calculated volume 303.5 Å³/cell, total moment 0.00 μB/cell. Number 2: calculated volume 70.1 Å³/cell, total moment 1.77 μB/cell. Number 3: calculated volume 683.0 Å³/cell, total moment 0.00 μB/cell. Number 4: calculated volume 105.1 Å³/cell, total moment 1.33 μB/cell. Number 5: calculated volume 111.9 Å³/cell, total moment 0.00 μB/cell. Number 6: calculated volume 662.1 Å³/cell, total moment 0.00 μB/cell. Number 7: calculated volume 64.7 Å³/cell, total moment 0.00 μB/cell. Number 8: calculated volume 63.9 Å³/cell, total moment 0.00 μB/cell. Number 9: calculated volume 242.0 Å³/cell, total moment 0.89 μB/cell. Number 10: calculated volume 83.7 Å³/cell, total moment 0.00 μB/cell. Number 11: calculated volume 242.5 Å³/cell, total moment 0.00 μB/cell. Number 12: calculated volume 207.5 Å³/cell, total moment 0.00 μB/cell.